No. 1
Material: CaSb
Method: DFT, PBE
State: relaxed

```
data_CaSb
_chemical_formula_sum 'Ca4 Sb4'
_symmetry_space_group_name_H-M 'F -4 3 m'
_symmetry_Int_Tables_number 216
_symmetry_space_group_name_Hall 'F -4 2 3'
_cell_length_a 7.221
_cell_length_b 7.221
_cell_length_c 7.221
_cell_angle_alpha 90.00
_cell_angle_beta 90.00
_cell_angle_gamma 90.00
loop_
_atom_site_label
_atom_site_type_symbol
_atom_site_fract_x
_atom_site_fract_y
_atom_site_fract_z
Ca1 Ca 0.000 0.000 0.000
Sb1 Sb 0.250 0.250 0.750
```

Values from the calculation:
uncorrected energy: -3.26 eV/atom
calculated volume: 377 Å³/cell
spin magnetization: 4.1 Bohr magnetons per cell
crystal system: cubic

No. 2
Material: K2TlPb4Au3
Method: DFT, PBE
State: relaxed

```
data_K2TlPb4Au3
_chemical_formula_sum 'K2 Tl1 Pb4 Au3'
_symmetry_space_group_name_H-M 'P -4 m 2'
_symmetry_Int_Tables_number 115
_symmetry_space_group_name_Hall 'P -4 -2'
_cell_length_a 5.129
_cell_length_b 5.129
_cell_length_c 11.819
_cell_angle_alpha 90.00
_cell_angle_beta 90.00
_cell_angle_gamma 90.00
loop_
_atom_site_label
_atom_site_type_symbol
_atom_site_fract_x
_atom_site_fract_y
_atom_site_fract_z
K1 K 0.000 0.500 0.245
Tl1 Tl 0.500 0.500 0.000
Pb1 Pb 0.000 0.000 0.500
Pb2 Pb 0.000 0.500 0.862
Pb3 Pb 0.500 0.500 0.500
Au1 Au 0.000 0.000 0.000
Au2 Au 0.000 0.500 0.624
```

Values from the calculation:
calculated volume: 311 Å³/cell
spin magnetization: 0.0 Bohr magnetons per cell
formation energy from the elements: -0.156 eV per atom
crystal system: tetragonal

No. 3
Material: RbPdBr
Method: DFT, PBE
State: relaxed

```
data_RbPdBr
_chemical_formula_sum 'Rb4 Pd4 Br4'
_symmetry_space_group_name_H-M 'I m m a'
_symmetry_Int_Tables_number 74
_symmetry_space_group_name_Hall '-I 2b 2'
_cell_length_a 9.578
_cell_length_b 10.204
_cell_length_c 4.803
_cell_angle_alpha 90.00
_cell_angle_beta 90.00
_cell_angle_gamma 90.00
loop_
_atom_site_label
_atom_site_type_symbol
_atom_site_fract_x
_atom_site_fract_y
_atom_site_fract_z
Rb1 Rb 0.000 0.000 0.000
Pd1 Pd 0.000 0.250 0.397
Br1 Br 0.250 0.250 0.250
```

Values from the calculation:
calculated volume: 469 Å³/cell
spin magnetization: 0.0 Bohr magnetons per cell
excess energy over the best structure of this formula in the dataset: 242 meV/atom
crystal system: orthorhombic

No. 4
Material: AcSm3Er2
Method: DFT, PBE
State: relaxed

```
data_AcSm3Er2
_chemical_formula_sum 'Ac2 Sm6 Er4'
_symmetry_space_group_name_H-M 'I m m m'
_symmetry_Int_Tables_number 71
_symmetry_space_group_name_Hall '-I 2 2'
_cell_length_a 3.515
_cell_length_b 6.157
_cell_length_c 19.652
_cell_angle_alpha 90.00
_cell_angle_beta 90.00
_cell_angle_gamma 90.00
loop_
_atom_site_label
_atom_site_type_symbol
_atom_site_fract_x
_atom_site_fract_y
_atom_site_fract_z
Ac1 Ac 0.000 0.000 0.000
Sm1 Sm 0.000 0.000 0.192
Sm2 Sm 0.000 0.500 0.000
Er1 Er 0.000 0.000 0.361
```

Values from the calculation:
calculated volume: 425 Å³/cell
spin magnetization: 0.0 Bohr magnetons per cell
formation energy from the elements: 0.381 eV per atom
excess energy over the best structure of this formula in the dataset: 292 meV/atom
crystal system: orthorhombic